(1)
The following is a PBE+U calculation of a relaxed structure of CsVBr2F, from Alexandria.

Lattice parameters (Å, degrees): 5.645 5.645 4.269 90.00 90.00 90.00
Sites, in units of the cell vectors:
Cs 0.000 0.000 0.000
V 0.500 0.500 0.500
Br 0.000 0.500 0.500
Br 0.500 0.000 0.500
F 0.500 0.500 0.000

## Properties
The density is 4.4 g cm⁻³. As for the total magnetic moment: 3.00 μB per cell. The calculation puts the energy at -4.3966 eV/atom.

---

(2)
The following is a PBE+U calculation of a relaxed structure of Cs2WBr4F2, from Alexandria.

Lattice parameters (Å, degrees): 7.386 7.386 6.353 102.50 102.50 64.35
Sites, in units of the cell vectors:
Cs 0.175 0.175 0.328
Cs 0.825 0.825 0.672
W 0.500 0.500 0.000
Br 0.172 0.646 0.186
Br 0.354 0.828 0.814
Br 0.646 0.172 0.186
Br 0.828 0.354 0.814
F 0.367 0.367 0.748
F 0.633 0.633 0.252

## Properties
The density is 4.4 g cm⁻³. As for the total magnetic moment: 2.00 μB per cell. The calculation puts the energy at -3.9254 eV/atom.

---

(3)
The following is a PBE+U calculation of a relaxed structure of Cs2WBrF6, from Alexandria.

Lattice parameters (Å, degrees): 5.761 6.327 8.424 110.68 90.48 116.59
Sites, in units of the cell vectors:
Cs 0.218 0.433 0.183
Cs 0.782 0.567 0.817
W 0.000 0.000 0.500
Br 0.500 0.000 0.000
F 0.109 0.220 0.750
F 0.122 0.780 0.537
F 0.339 0.222 0.465
F 0.661 0.778 0.535
F 0.878 0.220 0.463
F 0.891 0.780 0.250

## Properties
The density is 4.2 g cm⁻³. As for the total magnetic moment: 0.91 μB per cell. The calculation puts the energy at -4.7915 eV/atom.

---

(4)
The following is a PBE+U calculation of a relaxed structure of Cs3WBr2F6, from Alexandria.

Lattice parameters (Å, degrees): 9.787 9.787 5.512 91.68 91.68 51.42
Sites, in units of the cell vectors:
Cs 0.000 0.000 0.000
Cs 0.000 0.500 0.500
Cs 0.500 0.000 0.500
W 0.500 0.500 0.500
Br 0.196 0.196 0.996
Br 0.804 0.804 0.004
F 0.320 0.656 0.265
F 0.344 0.680 0.735
F 0.389 0.389 0.538
F 0.611 0.611 0.462
F 0.656 0.320 0.265
F 0.680 0.344 0.735

## Properties
The density is 3.4 g cm⁻³. As for the total magnetic moment: 1.00 μB per cell. The calculation puts the energy at -4.4905 eV/atom.

---

(5)
The following is a PBE+U calculation of a relaxed structure of Cs2WBr6F, from Alexandria.

Lattice parameters (Å, degrees): 7.744 7.744 7.744 117.65 117.65 94.13
Sites, in units of the cell vectors:
Cs 0.250 0.750 0.500
Cs 0.750 0.250 0.500
W 0.000 0.000 0.000
Br 0.228 0.228 0.455
Br 0.228 0.772 0.000
Br 0.239 0.239 0.000
Br 0.761 0.761 0.000
Br 0.772 0.228 0.000
Br 0.772 0.772 0.545
F 0.500 0.500 0.000

## Properties
The density is 4.6 g cm⁻³. As for the total magnetic moment: 1.00 μB per cell. The calculation puts the energy at -3.1878 eV/atom.

---

(6)
The following is a PBE+U calculation of a relaxed structure of Cs2WBr5F, from Alexandria.

Lattice parameters (Å, degrees): 7.741 7.741 7.741 118.23 118.23 93.09
Sites, in units of the cell vectors:
Cs 0.000 0.500 0.500
Cs 0.500 0.000 0.500
W 0.253 0.253 0.000
Br 0.017 0.017 0.535
Br 0.017 0.482 0.000
Br 0.482 0.017 0.000
Br 0.482 0.482 0.465
Br 0.495 0.495 0.000
F 0.068 0.068 0.000

## Properties
The density is 4.3 g cm⁻³. As for the total magnetic moment: 2.00 μB per cell. The calculation puts the energy at -3.5660 eV/atom.

---

(7)
The following is a PBE+U calculation of a relaxed structure of Cs2WBr2F4, from Alexandria.

Lattice parameters (Å, degrees): 7.021 7.021 7.021 116.56 116.56 96.06
Sites, in units of the cell vectors:
Cs 0.250 0.750 0.500
Cs 0.750 0.250 0.500
W 0.000 0.000 0.000
Br 0.280 0.280 0.000
Br 0.720 0.720 0.000
F 0.191 0.191 0.383
F 0.191 0.809 0.000
F 0.809 0.191 0.000
F 0.809 0.809 0.617

## Properties
The density is 4.4 g cm⁻³. As for the total magnetic moment: 2.00 μB per cell. The calculation puts the energy at -4.5385 eV/atom.